Computed, not measured: crystalline FeNiO2 at its relaxed geometry at the GGA+U level of DFT.

Properties
**Crystal system**: cubic
**Total energy**: -4.6538 eV/atom

a b c (Å): 5.280 5.280 5.280
angles (deg): 90.00 90.00 90.00
Space group Fm-3m (No. 225)
Symmetry-distinct sites (fractional):
Fe 0.000 0.000 0.000 (multiplicity 4)
Ni 0.000 0.000 0.500 (multiplicity 4)
O 0.250 0.250 0.250 (multiplicity 8)